# 1
A geometry-optimized Cr2SbAs structure. Source: Alexandria, functional GGA-PBE.

abc: 4.8363 4.8363 4.8363
angles: 132.27 114.28 85.19
Element x y z (fractional)
Cr  0.0219  0.0219  0.0000
Cr  0.4781  0.4781  0.0000
Sb  0.7500  0.2500  0.5000
As  0.2500  0.7500  0.5000

Values from the calculation:
VASP energy, eV/atom: -6.70
Total moment, μB per atom: 1.55
SG: Immm, No. 71

=====

# 2
A geometry-optimized Rb3Hg2Cl7 structure. Source: Alexandria, functional GGA-PBE.

abc: 5.4169 5.4169 13.8628
angles: 101.27 101.27 90.00
Element x y z (fractional)
Cl  0.5957  0.0957  0.1914
Cl  0.4043  0.9043  0.8086
Cl  0.1986  0.1986  0.3972
Cl  0.9043  0.4043  0.8086
Cl  0.0957  0.5957  0.1914
Cl  0.0000  0.0000  0.0000
Cl  0.8014  0.8014  0.6028
Rb  0.3224  0.3224  0.6449
Rb  0.5000  0.5000  0.0000
Rb  0.6776  0.6776  0.3551
Hg  0.8989  0.8989  0.7979
Hg  0.1011  0.1011  0.2021

Values from the calculation:
Polymorph energy (0 for the lowest one), meV per atom: 0
VASP energy, eV/atom: -2.64
Total moment, μB per atom: 0.00
SG: I4/mmm, No. 139

=====

Q: Which value of total moment does entry 2 give?
A: 0.00 μB per atom

=====

Please write out number 1 again, unchanged.
A geometry-optimized Cr2SbAs structure. Source: Alexandria, functional GGA-PBE.

abc: 4.8363 4.8363 4.8363
angles: 132.27 114.28 85.19
Element x y z (fractional)
Cr  0.0219  0.0219  0.0000
Cr  0.4781  0.4781  0.0000
Sb  0.7500  0.2500  0.5000
As  0.2500  0.7500  0.5000

Values from the calculation:
VASP energy, eV/atom: -6.70
Total moment, μB per atom: 1.55
SG: Immm, No. 71

=====

Q: What is the formula in the first record?
A: Cr2SbAs